A geometry-optimized CdCoSe structure, computed with PBE.

abc: 3.9674 3.9674 4.0242
angles: 90.00 90.00 120.00
Sites, in units of the cell vectors:
Cd  0.0000  0.0000  0.0000
Co  0.6667  0.3333  0.5000
Se  0.3333  0.6667  0.5000

Its space group is P-6m2 (187). The calculation puts the total DFT energy (no corrections) at -11.260 eV per cell. As for the energy relative to the elements, uncorrected: 0.082 eV per atom.